[1]
Material: Pm4TlCdHg2
Method: DFT, PBE
State: optimized geometry

```
Pm4TlCdHg2
1.0
2.711 1.565 8.881
-2.711 1.565 8.881
0.000 -3.130 8.881
Pm Tl Cd Hg
4 1 1 2
Direct
0.125 0.125 0.125
0.375 0.375 0.375
0.625 0.625 0.625
0.875 0.875 0.875
0.500 0.500 0.500
0.000 0.000 0.000
0.252 0.252 0.252
0.748 0.748 0.748
```

Output
- Formation energy: -3.27 eV/f.u.
- Crystal system: trigonal

=====

[2]
Material: Pm4TlCd2Hg
Method: DFT, PBE
State: optimized geometry

```
Pm4TlCd2Hg
1.0
2.715 1.568 8.879
-2.715 1.568 8.879
0.000 -3.135 8.879
Pm Tl Cd Hg
4 1 2 1
Direct
0.123 0.123 0.123
0.373 0.373 0.373
0.627 0.627 0.627
0.877 0.877 0.877
0.500 0.500 0.500
0.249 0.249 0.249
0.751 0.751 0.751
0.000 0.000 0.000
```

Output
- Formation energy: -2.98 eV/f.u.
- Crystal system: trigonal

=====

Calculated volume / A^3/atom: 28.26; 28.35